1.
First-principles (PBEsol) data for a relaxed structure of Fe2ReNi, as listed in Alexandria via LeMat-Bulk.

Computed properties:
N(E_F) (states/eV/cell): 3.14
E_form (eV/atom): 0.0127

POSCAR file:
```
Fe2ReNi
1.0
3.574 0.000 0.000
0.000 3.574 0.000
-1.787 -1.787 3.557
Re Fe Ni
1 2 1
Direct
0.250 0.750 0.500
0.000 0.000 0.000
0.750 0.250 0.500
0.500 0.500 0.000
```

2.
First-principles (PBEsol) data for a relaxed structure of BaTcAs, as listed in Alexandria via LeMat-Bulk.

Computed properties:
N(E_F) (states/eV/cell): 1.03
E_form (eV/atom): -0.1175

POSCAR file:
```
BaTcAs
1.0
-0.805 3.096 0.913
-2.101 0.212 -2.571
-2.895 -3.780 4.206
Ba Tc As
1 1 1
Direct
0.330 0.330 0.660
0.625 0.625 0.251
0.045 0.045 0.089
```

3.
First-principles (PBEsol) data for a relaxed structure of NiOsBr2, as listed in Alexandria via LeMat-Bulk.

Computed properties:
N(E_F) (states/eV/cell): 4.36
Polymorph energy (0 for the lowest one) (eV per formula unit): 0.91
Energy relative to the elements, uncorrected (eV/atom): 1.14

POSCAR file:
```
NiOsBr2
1.0
-3.035 0.628 -0.226
-0.204 -2.361 -3.820
-0.944 -3.715 2.349
Br Os Ni
2 1 1
Direct
0.000 0.500 0.000
0.000 0.000 0.500
0.500 0.500 0.500
0.500 0.000 0.000
```